Here is a geometry-optimized LuCoNO structure from the Open Quantum Materials Database. Energies are from PBE with a Hubbard U.

Cell and atoms, written as extended XYZ:
```
16
Lattice="-2.592 4.002 -2.022 -4.833 -4.302 -2.319 -2.709 0.567 4.593" Properties=species:S:1:pos:R:3 pbc="T T T"
Co -1.452 0.155 1.965
Co -7.214 -1.819 -1.189
Co -4.023 2.317 3.312
Co -9.785 0.344 0.158
Lu -4.178 0.893 -0.052
Lu -4.345 -2.410 0.257
Lu -6.617 2.851 1.399
Lu -6.783 -0.452 1.708
N -2.947 2.772 -0.870
N -5.597 -2.742 -1.752
N -4.230 2.945 1.483
N -6.880 -2.568 0.600
O -3.296 -0.891 -0.879
O -4.964 0.779 -2.068
O -4.641 -0.622 1.425
O -6.309 1.048 0.235
```

For the final energy, the calculation gives -7.22 eV per atom. The symmetry is Pca2_1, No. 29. The calculation puts the magnetization at 4.07 μB/cell. The density comes out at 9.2 Mg/m³.